Entry 1:
{"formula": "UAl2Au2", "functional": "PBE-GGA", "state": "optimized geometry", "lattice": [[4.320, 0.000, 0.000], [0.000, 4.320, 0.000], [0.000, 0.000, 10.648]], "species": ["U", "U", "Al", "Al", "Al", "Al", "Au", "Au", "Au", "Au"], "fractional_positions": [[0.250, 0.250, 0.248], [0.750, 0.750, 0.752], [0.250, 0.250, 0.866], [0.250, 0.750, 0.500], [0.750, 0.250, 0.500], [0.750, 0.750, 0.134], [0.250, 0.250, 0.633], [0.250, 0.750, 0.000], [0.750, 0.250, 0.000], [0.750, 0.750, 0.367]], "delta_e_f_ev_per_atom": -0.322, "rho_g_cm3": 11.47}

---

Entry 2:
{"formula": "UAl4Au8", "functional": "PBE-GGA", "state": "optimized geometry", "lattice": [[-4.621, 4.621, 2.769], [4.621, -4.621, 2.769], [4.621, 4.621, -2.769]], "species": ["U", "Al", "Al", "Al", "Al", "Au", "Au", "Au", "Au", "Au", "Au", "Au", "Au"], "fractional_positions": [[0.000, 0.000, 0.000], [0.000, 0.000, 0.500], [0.000, 0.500, 0.000], [0.500, 0.000, 0.000], [0.500, 0.500, 0.500], [0.000, 0.325, 0.325], [0.000, 0.675, 0.675], [0.282, 0.500, 0.782], [0.325, 0.000, 0.325], [0.500, 0.282, 0.782], [0.500, 0.718, 0.218], [0.675, 0.000, 0.675], [0.718, 0.500, 0.218]], "delta_e_f_ev_per_atom": -0.309, "rho_g_cm3": 13.49}

---

Entry 3:
{"formula": "U2Al3Au5", "functional": "PBE-GGA", "state": "optimized geometry", "lattice": [[2.281, -12.589, 0.000], [2.281, 12.589, 0.000], [0.000, 0.000, 6.877]], "species": ["U", "U", "U", "U", "Al", "Al", "Al", "Al", "Al", "Al", "Au", "Au", "Au", "Au", "Au", "Au", "Au", "Au", "Au", "Au"], "fractional_positions": [[0.013, 0.987, 0.500], [0.327, 0.673, 0.473], [0.673, 0.327, 0.973], [0.987, 0.013, 0.000], [0.107, 0.893, 0.200], [0.277, 0.723, 0.969], [0.448, 0.552, 0.298], [0.552, 0.448, 0.798], [0.723, 0.277, 0.469], [0.893, 0.107, 0.700], [0.104, 0.896, 0.797], [0.209, 0.791, 0.256], [0.212, 0.788, 0.679], [0.380, 0.620, 0.006], [0.449, 0.551, 0.686], [0.551, 0.449, 0.186], [0.620, 0.380, 0.506], [0.788, 0.212, 0.179], [0.791, 0.209, 0.756], [0.896, 0.104, 0.297]], "delta_e_f_ev_per_atom": -0.281, "rho_g_cm3": 12.96}

---

Repeat the first record exactly.
{"formula": "UAl2Au2", "functional": "PBE-GGA", "state": "optimized geometry", "lattice": [[4.320, 0.000, 0.000], [0.000, 4.320, 0.000], [0.000, 0.000, 10.648]], "species": ["U", "U", "Al", "Al", "Al", "Al", "Au", "Au", "Au", "Au"], "fractional_positions": [[0.250, 0.250, 0.248], [0.750, 0.750, 0.752], [0.250, 0.250, 0.866], [0.250, 0.750, 0.500], [0.750, 0.250, 0.500], [0.750, 0.750, 0.134], [0.250, 0.250, 0.633], [0.250, 0.750, 0.000], [0.750, 0.250, 0.000], [0.750, 0.750, 0.367]], "delta_e_f_ev_per_atom": -0.322, "rho_g_cm3": 11.47}